First-principles (PBE) data for a relaxed structure of Al5CuPd4, as listed in Alexandria via LeMat-Bulk.

- energy of formation from the pure elements (eV/f.u.) = -7.40
- magnetic moment (μB per formula unit) = 0.00

Cell lengths 3.103, 3.103, 14.921 Å; angles 90.00, 90.00, 90.00 degrees
Element x y z (fractional)
Al 0.000 0.000 0.000
Al 0.000 0.000 0.202
Al 0.000 0.000 0.403
Al 0.000 0.000 0.597
Al 0.000 0.000 0.798
Cu 0.500 0.500 0.500
Pd 0.500 0.500 0.102
Pd 0.500 0.500 0.306
Pd 0.500 0.500 0.694
Pd 0.500 0.500 0.898

=====

First-principles (PBE) data for a relaxed structure of Al2Cu3Pd7, as listed in Alexandria via LeMat-Bulk.

- energy of formation from the pure elements (eV/f.u.) = -3.06
- magnetic moment (μB per formula unit) = 0.00

Cell lengths 11.764, 11.764, 4.060 Å; angles 90.00, 90.00, 160.17 degrees
Element x y z (fractional)
Al 0.150 0.850 0.000
Al 0.850 0.150 0.000
Cu 0.348 0.652 0.500
Cu 0.500 0.500 0.500
Cu 0.652 0.348 0.500
Pd 0.000 0.000 0.000
Pd 0.081 0.919 0.500
Pd 0.286 0.714 0.000
Pd 0.418 0.582 0.000
Pd 0.582 0.418 0.000
Pd 0.714 0.286 0.000
Pd 0.919 0.081 0.500

=====

First-principles (PBE) data for a relaxed structure of AlCu6Pd12, as listed in Alexandria via LeMat-Bulk.

- energy of formation from the pure elements (eV/f.u.) = -2.33
- magnetic moment (μB per formula unit) = 0.00
- offset from the most stable computed form (kcal/mol of atoms) = 1.64

Cell lengths 6.526, 6.526, 6.526 Å; angles 89.45, 89.45, 89.45 degrees
Element x y z (fractional)
Al 0.000 0.000 0.000
Cu 0.112 0.267 0.731
Cu 0.267 0.731 0.112
Cu 0.269 0.888 0.733
Cu 0.731 0.112 0.267
Cu 0.733 0.269 0.888
Cu 0.888 0.733 0.269
Pd 0.022 0.365 0.150
Pd 0.150 0.022 0.365
Pd 0.197 0.564 0.470
Pd 0.365 0.150 0.022
Pd 0.436 0.530 0.803
Pd 0.470 0.197 0.564
Pd 0.530 0.803 0.436
Pd 0.564 0.470 0.197
Pd 0.635 0.850 0.978
Pd 0.803 0.436 0.530
Pd 0.850 0.978 0.635
Pd 0.978 0.635 0.850

=====

First-principles (PBE) data for a relaxed structure of Al2CuPd4, as listed in Alexandria via LeMat-Bulk.

- energy of formation from the pure elements (eV/f.u.) = -3.93
- magnetic moment (μB per formula unit) = 0.00
- offset from the most stable computed form (kcal/mol of atoms) = 0.00

Cell lengths 5.225, 5.225, 5.225 Å; angles 113.95, 113.95, 100.85 degrees
Element x y z (fractional)
Al 0.000 0.500 0.500
Al 0.500 0.000 0.500
Cu 0.000 0.000 0.000
Pd 0.000 0.000 0.500
Pd 0.000 0.500 0.000
Pd 0.500 0.000 0.000
Pd 0.500 0.500 0.500